Record 1
A plane-wave DFT calculation with PBE was carried out for a geometry-optimized Cu2H6Rh structure.

Cell and atoms, written as POSCAR:
```
Cu2H6Rh
1.0
-3.566 1.918 1.024
-1.534 -0.486 -4.434
-2.852 -6.193 1.666
H Cu Rh
12 4 2
Direct
0.768 0.824 0.336
0.296 0.184 0.000
0.204 0.684 0.500
0.796 0.316 0.500
0.232 0.176 0.664
0.268 0.676 0.164
0.232 0.176 0.336
0.732 0.324 0.164
0.704 0.816 0.000
0.268 0.676 0.836
0.732 0.324 0.836
0.768 0.824 0.664
0.500 0.000 0.806
0.500 0.000 0.194
0.000 0.500 0.306
0.000 0.500 0.694
0.000 0.000 0.500
0.500 0.500 0.000
```

Calculated values
Symmetry = No. 58
Electronic total energy = -3.88 eV/atom
Volume = 138.3 Å³ per cell



Record 2
A plane-wave DFT calculation with PBE was carried out for a geometry-optimized CuH4Rh2 structure.

Cell and atoms, written as POSCAR:
```
CuH4Rh2
1.0
2.806 0.000 0.646
1.328 2.471 0.646
-0.383 -0.229 8.074
Rh H Cu
2 4 1
Direct
0.393 0.393 0.821
0.607 0.607 0.179
0.695 0.695 0.916
0.097 0.097 0.710
0.903 0.903 0.290
0.305 0.305 0.084
0.500 0.500 0.500
```

Calculated values
Symmetry = No. 166
Electronic total energy = -4.53 eV/atom
Volume = 56.8 Å³ per cell



Record 3
A plane-wave DFT calculation with PBE was carried out for a geometry-optimized CuH3Rh structure.

Cell and atoms, written as POSCAR:
```
CuH3Rh
1.0
3.400 0.000 0.000
0.000 3.400 0.000
0.000 0.000 3.400
H Rh Cu
3 1 1
Direct
0.000 0.000 0.500
0.000 0.500 0.000
0.500 0.000 0.000
0.000 0.000 0.000
0.500 0.500 0.500
```

Calculated values
Symmetry = No. 221
Electronic total energy = -4.19 eV/atom
Volume = 39.3 Å³ per cell



Record 4
A plane-wave DFT calculation with PBE was carried out for a geometry-optimized Cu2H2Rh structure.

Cell and atoms, written as POSCAR:
```
Cu2H2Rh
1.0
3.590 0.000 0.000
0.000 3.590 0.000
0.000 0.000 3.849
Cu H Rh
2 2 1
Direct
0.500 0.000 0.500
0.000 0.500 0.500
0.000 0.500 0.000
0.500 0.000 0.000
0.000 0.000 0.000
```

Calculated values
Symmetry = No. 123
Electronic total energy = -4.41 eV/atom
Volume = 49.6 Å³ per cell



Record 5
A plane-wave DFT calculation with PBE was carried out for a geometry-optimized CuH2Rh structure.

Cell and atoms, written as POSCAR:
```
CuH2Rh
1.0
2.826 0.000 0.000
-1.413 5.040 0.000
0.000 0.000 4.697
H Cu Rh
4 2 2
Direct
0.352 0.705 0.976
0.352 0.705 0.524
0.648 0.295 0.024
0.648 0.295 0.476
0.066 0.132 0.750
0.934 0.868 0.250
0.806 0.613 0.750
0.194 0.387 0.250
```

Calculated values
Symmetry = No. 63
Electronic total energy = -4.49 eV/atom
Volume = 66.9 Å³ per cell



Record 6
A plane-wave DFT calculation with PBE was carried out for a geometry-optimized CuH12Rh6 structure.

Cell and atoms, written as POSCAR:
```
CuH12Rh6
1.0
5.184 0.122 -0.969
-1.188 5.048 -0.969
0.094 0.122 5.273
Rh H Cu
6 12 1
Direct
0.715 0.420 0.859
0.285 0.580 0.141
0.420 0.859 0.715
0.580 0.141 0.285
0.859 0.715 0.420
0.141 0.285 0.580
0.671 0.097 0.953
0.546 0.820 0.407
0.820 0.407 0.546
0.953 0.671 0.097
0.593 0.454 0.180
0.097 0.953 0.671
0.329 0.903 0.047
0.903 0.047 0.329
0.047 0.329 0.903
0.454 0.180 0.593
0.180 0.593 0.454
0.407 0.546 0.820
0.000 0.000 0.000
```

Calculated values
Symmetry = No. 148
Electronic total energy = -4.64 eV/atom
Volume = 139.9 Å³ per cell



Record 7
A plane-wave DFT calculation with PBE was carried out for a geometry-optimized CuH7Rh3 structure.

Cell and atoms, written as POSCAR:
```
CuH7Rh3
1.0
6.265 0.939 0.000
-1.289 6.202 0.000
0.000 0.000 4.192
H Cu Rh
14 2 6
Direct
0.126 0.381 0.252
0.613 0.387 0.250
0.370 0.630 0.250
0.387 0.613 0.750
0.628 0.893 0.763
0.893 0.628 0.237
0.851 0.149 0.250
0.107 0.372 0.737
0.372 0.107 0.263
0.381 0.126 0.748
0.149 0.851 0.750
0.619 0.874 0.248
0.630 0.370 0.750
0.874 0.619 0.752
0.065 0.065 0.500
0.935 0.935 0.000
0.142 0.604 0.996
0.396 0.858 0.504
0.640 0.640 0.000
0.858 0.396 0.496
0.360 0.360 0.500
0.604 0.142 0.004
```

Calculated values
Symmetry = No. 20
Electronic total energy = -4.44 eV/atom
Volume = 167.9 Å³ per cell



Record 8
A plane-wave DFT calculation with PBE was carried out for a geometry-optimized CuH3Rh2 structure.

Cell and atoms, written as POSCAR:
```
CuH3Rh2
1.0
5.541 0.000 0.000
0.000 4.575 -0.422
0.000 -1.908 4.180
Cu Rh H
2 4 6
Direct
0.250 0.500 0.500
0.750 0.500 0.500
0.500 0.833 0.167
0.000 0.167 0.833
0.000 0.833 0.167
0.500 0.167 0.833
0.250 0.929 0.496
0.750 0.071 0.504
0.250 0.066 0.066
0.250 0.496 0.929
0.750 0.934 0.934
0.750 0.504 0.071
```

Calculated values
Symmetry = No. 63
Electronic total energy = -4.71 eV/atom
Volume = 101.5 Å³ per cell



- Which formula does entry 8 have?
  CuH3Rh2



Please write out number 4 again, unchanged.
A plane-wave DFT calculation with PBE was carried out for a geometry-optimized Cu2H2Rh structure.

Cell and atoms, written as POSCAR:
```
Cu2H2Rh
1.0
3.590 0.000 0.000
0.000 3.590 0.000
0.000 0.000 3.849
Cu H Rh
2 2 1
Direct
0.500 0.000 0.500
0.000 0.500 0.500
0.000 0.500 0.000
0.500 0.000 0.000
0.000 0.000 0.000
```

Calculated values
Symmetry = No. 123
Electronic total energy = -4.41 eV/atom
Volume = 49.6 Å³ per cell



- Among the records above, which one has the highest volume?
  CuH7Rh3



- The lowest volume belongs to which entry?
  CuH3Rh